No. 1
Material: FeCS2
Method: DFT, meta-GGA SCAN
State: PBEsol geometry

Computed properties:
total magnetization = 7.2 Bohr magnetons per cell
volume = 11.94 A^3/atom
ρ = 4.59 g/cm³
electronic total energy = -10.55 eV/atom

```
data_FeCS2
_chemical_formula_sum 'Fe3 C3 S6'
_symmetry_space_group_name_H-M 'R -3 m'
_symmetry_Int_Tables_number 166
_symmetry_space_group_name_Hall '-R 3 2"'
_cell_length_a 2.9067
_cell_length_b 2.9067
_cell_length_c 19.5860
_cell_angle_alpha 90.00
_cell_angle_beta 90.00
_cell_angle_gamma 120.00
loop_
_atom_site_label
_atom_site_fract_x
_atom_site_fract_y
_atom_site_fract_z
_atom_site_occupancy
Fe1 0.0000 0.0000 0.0000 1
C1 0.0000 0.0000 0.5000 1
S1 0.0000 0.0000 0.1046 1
```

=====

No. 2
Material: Y2ScPt
Method: DFT, meta-GGA SCAN
State: PBEsol geometry

Computed properties:
total magnetization = 1.0 Bohr magnetons per cell
volume = 23.94 A^3/atom
E above lowest polymorph = 83 meV/atom
energy of formation from the pure elements = -0.701 eV/atom
ρ = 7.25 g/cm³

```
data_Y2ScPt
_chemical_formula_sum 'Y2 Sc1 Pt1'
_symmetry_space_group_name_H-M 'P 4 m m'
_symmetry_Int_Tables_number 99
_cell_length_a 3.430
_cell_length_b 3.430
_cell_length_c 8.142
_cell_angle_alpha 90.00
_cell_angle_beta 90.00
_cell_angle_gamma 90.00
loop_
_symmetry_equiv_pos_as_xyz
'x,y,z'
'-y,x,z'
'-x,-y,z'
'y,-x,z'
'-x,y,z'
'y,x,z'
'x,-y,z'
'-y,-x,z'
loop_
_atom_site_label
_atom_site_fract_x
_atom_site_fract_y
_atom_site_fract_z
_atom_site_occupancy
Y1 0.000 0.000 0.000 1
Y2 0.500 0.500 0.320 1
Sc1 0.500 0.500 0.707 1
Pt1 0.000 0.000 0.540 1
```

=====

No. 3
Material: Li2Mn2FeO6
Method: DFT, meta-GGA SCAN
State: PBEsol geometry

Computed properties:
total magnetization = 18.0 Bohr magnetons per cell
volume = 8.81 A^3/atom
E above lowest polymorph = 0 meV/atom
ρ = 4.72 g/cm³

```
data_Li2Mn2FeO6
_chemical_formula_sum 'Li6 Mn6 Fe3 O18'
_symmetry_space_group_name_H-M 'P -1'
_symmetry_Int_Tables_number 2
_cell_length_a 6.419
_cell_length_b 6.428
_cell_length_c 8.037
_cell_angle_alpha 69.66
_cell_angle_beta 69.37
_cell_angle_gamma 80.84
loop_
_symmetry_equiv_pos_as_xyz
'x,y,z'
'-x,-y,-z'
loop_
_atom_site_label
_atom_site_fract_x
_atom_site_fract_y
_atom_site_fract_z
_atom_site_occupancy
Li1 0.001 0.165 0.334 1
Li2 0.327 0.169 0.002 1
Li3 0.327 0.502 0.669 1
Mn1 0.326 0.507 0.170 1
Mn2 0.329 0.838 0.837 1
Mn3 0.331 0.169 0.503 1
Fe1 0.000 0.500 0.500 1
Fe2 0.004 0.829 0.167 1
O1 0.012 0.510 0.257 1
O2 0.014 0.854 0.919 1
O3 0.019 0.180 0.584 1
O4 0.314 0.156 0.749 1
O5 0.322 0.483 0.415 1
O6 0.324 0.824 0.078 1
O7 0.346 0.848 0.591 1
O8 0.347 0.188 0.253 1
O9 0.352 0.516 0.920 1
```

=====

No. 4
Material: Li2LaSc
Method: DFT, meta-GGA SCAN
State: PBEsol geometry

Computed properties:
total magnetization = 0.5 Bohr magnetons per cell
volume = 25.06 A^3/atom
E above lowest polymorph = 129 meV/atom
energy of formation from the pure elements = 0.224 eV/atom
ρ = 3.28 g/cm³

```
data_Li2LaSc
_chemical_formula_sum 'Li4 La2 Sc2'
_symmetry_space_group_name_H-M 'C 1 2/m 1'
_symmetry_Int_Tables_number 12
_cell_length_a 6.318
_cell_length_b 10.819
_cell_length_c 3.208
_cell_angle_alpha 90.00
_cell_angle_beta 113.89
_cell_angle_gamma 90.00
loop_
_symmetry_equiv_pos_as_xyz
'x,y,z'
'-x,-y,-z'
'-x,y,-z'
'x,-y,z'
'x+1/2,y+1/2,z'
'-x+1/2,-y+1/2,-z'
'-x+1/2,y+1/2,-z'
'x+1/2,-y+1/2,z'
loop_
_atom_site_label
_atom_site_fract_x
_atom_site_fract_y
_atom_site_fract_z
_atom_site_occupancy
Li1 0.250 0.250 0.000 1
La1 0.000 0.000 0.500 1
Sc1 0.000 0.500 0.500 1
```

=====

No. 5
Material: InCu2Pb
Method: DFT, meta-GGA SCAN
State: PBEsol geometry

Computed properties:
total magnetization = 0.0 Bohr magnetons per cell
volume = 18.46 A^3/atom
energy of formation from the pure elements = 0.278 eV/atom
ρ = 10.10 g/cm³

```
data_InCu2Pb
_chemical_formula_sum 'In1 Cu2 Pb1'
_symmetry_space_group_name_H-M 'P m m m'
_symmetry_Int_Tables_number 47
_cell_length_a 3.128
_cell_length_b 3.423
_cell_length_c 6.898
_cell_angle_alpha 90.00
_cell_angle_beta 90.00
_cell_angle_gamma 90.00
loop_
_symmetry_equiv_pos_as_xyz
'x,y,z'
'-x,-y,-z'
'-x,-y,z'
'x,y,-z'
'x,-y,-z'
'-x,y,z'
'-x,y,-z'
'x,-y,z'
loop_
_atom_site_label
_atom_site_fract_x
_atom_site_fract_y
_atom_site_fract_z
_atom_site_occupancy
In1 0.000 0.000 0.000 1
Cu1 0.500 0.500 0.210 1
Pb1 0.000 0.000 0.500 1
```

=====

No. 6
Material: SrCuRh
Method: DFT, meta-GGA SCAN
State: PBEsol geometry

Computed properties:
total magnetization = 0.0 Bohr magnetons per cell
volume = 21.28 A^3/atom
E above lowest polymorph = 0 meV/atom
energy of formation from the pure elements = -0.129 eV/atom
ρ = 6.61 g/cm³

```
data_SrCuRh
_chemical_formula_sum 'Sr1 Cu1 Rh1'
_symmetry_space_group_name_H-M 'P -6 m 2'
_symmetry_Int_Tables_number 187
_symmetry_space_group_name_Hall 'P -6 2'
_cell_length_a 4.1323
_cell_length_b 4.1323
_cell_length_c 4.3164
_cell_angle_alpha 90.00
_cell_angle_beta 90.00
_cell_angle_gamma 120.00
loop_
_atom_site_label
_atom_site_fract_x
_atom_site_fract_y
_atom_site_fract_z
_atom_site_occupancy
Sr1 0.0000 0.0000 0.0000 1
Cu1 0.3333 0.6667 0.5000 1
Rh1 0.6667 0.3333 0.5000 1
```

=====

- The lowest ρ belongs to which entry?
  Li2LaSc

=====

- ρ of number 5 (InCu2Pb)?
  10.10 g/cm³

=====

- What is the formula in the second record?
  Y2ScPt